## GaNi2AgF8 (PBE+U)

Data for crystalline GaNi2AgF8 at its relaxed geometry.

```
GaNi2AgF8
1.0
4.8380 0.0359 0.0114
0.0716 4.8133 0.0295
-0.0013 -0.0208 6.5778
F Ga Ni Ag
8 1 2 1
Direct
0.8020 0.2091 0.7993
0.1993 0.7925 0.7996
0.2972 0.2883 0.0001
0.6647 0.6772 0.4994
0.1980 0.7909 0.2007
0.3353 0.3228 0.5006
0.7028 0.7117 0.9999
0.8007 0.2075 0.2004
0.0000 0.0000 0.0000
0.4998 0.4999 0.7520
0.5002 0.5001 0.2480
0.0000 0.0000 0.5000
```

Properties
SG: No. 2
Crystal system: triclinic
DFT total energy, eV/atom: -4.230